(1)
Tl3TcF | meta-GGA SCAN | PBEsol geometry

POSCAR file:
```
Tl3TcF
1.0
5.188 0.000 0.000
0.000 5.188 0.000
0.000 0.000 5.188
Tl Tc F
3 1 1
direct
0.000 0.000 0.500 Tl
0.000 0.500 0.000 Tl
0.500 0.000 0.000 Tl
0.000 0.000 0.000 Tc
0.500 0.500 0.500 F
```

Properties
SG = Pm-3m (221)

(2)
TlTcF3 | meta-GGA SCAN | PBEsol geometry

POSCAR file:
```
TlTcF3
1.0
4.202 0.000 0.000
0.000 4.202 0.000
0.000 0.000 4.202
Tl Tc F
1 1 3
direct
0.000 0.000 0.000 Tl
0.500 0.500 0.500 Tc
0.000 0.500 0.500 F
0.500 0.000 0.500 F
0.500 0.500 0.000 F
```

Properties
SG = Pm-3m (221)

(3)
Y3TcF | meta-GGA SCAN | PBEsol geometry

POSCAR file:
```
Y3TcF
1.0
5.271 0.000 0.000
0.000 5.271 0.000
0.000 0.000 5.271
Y Tc F
3 1 1
direct
0.000 0.000 0.500 Y
0.000 0.500 0.000 Y
0.500 0.000 0.000 Y
0.000 0.000 0.000 Tc
0.500 0.500 0.500 F
```

Properties
SG = Pm-3m (221)

(4)
ZnTc2F | meta-GGA SCAN | PBEsol geometry

POSCAR file:
```
ZnTc2F
1.0
5.877 0.000 0.000
0.000 5.877 0.000
0.000 0.000 5.877
Zn Tc F
4 8 4
direct
0.000 0.000 0.000 Zn
0.000 0.500 0.500 Zn
0.500 0.000 0.500 Zn
0.500 0.500 0.000 Zn
0.250 0.250 0.250 Tc
0.250 0.250 0.750 Tc
0.250 0.750 0.250 Tc
0.250 0.750 0.750 Tc
0.750 0.250 0.250 Tc
0.750 0.250 0.750 Tc
0.750 0.750 0.250 Tc
0.750 0.750 0.750 Tc
0.000 0.000 0.500 F
0.000 0.500 0.000 F
0.500 0.000 0.000 F
0.500 0.500 0.500 F
```

Properties
SG = Fm-3m (225)

(5)
ZrTcF3 | meta-GGA SCAN | PBEsol geometry

POSCAR file:
```
ZrTcF3
1.0
4.254 0.000 0.000
0.000 4.254 0.000
0.000 0.000 4.254
Zr Tc F
1 1 3
direct
0.000 0.000 0.000 Zr
0.500 0.500 0.500 Tc
0.000 0.000 0.500 F
0.000 0.500 0.000 F
0.500 0.000 0.000 F
```

Properties
SG = Pm-3m (221)

(6)
TeF4 | meta-GGA SCAN | PBEsol geometry

POSCAR file:
```
TeF4
1.0
5.573 0.000 0.000
0.000 5.927 0.000
0.000 0.000 9.721
Te F
4 16
direct
0.144 0.007 0.384 Te
0.356 0.993 0.884 Te
0.644 0.493 0.616 Te
0.856 0.507 0.116 Te
0.058 0.723 0.250 F
0.108 0.173 0.969 F
0.135 0.956 0.741 F
0.208 0.727 0.961 F
0.292 0.273 0.461 F
0.365 0.044 0.241 F
0.392 0.827 0.469 F
0.442 0.277 0.750 F
0.558 0.777 0.750 F
0.608 0.327 0.031 F
0.635 0.544 0.259 F
0.708 0.773 0.039 F
0.792 0.227 0.539 F
0.865 0.456 0.759 F
0.892 0.673 0.531 F
0.942 0.223 0.250 F
```

Properties
SG = P2_12_12_1 (19)

(7)
TlTeF2 | meta-GGA SCAN | PBEsol geometry

POSCAR file:
```
TlTeF2
1.0
7.013 0.000 0.000
0.000 7.013 0.000
0.000 0.000 6.307
Tl Te F
4 4 8
direct
0.000 0.000 0.000 Tl
0.000 0.500 0.250 Tl
0.500 0.000 0.750 Tl
0.500 0.500 0.500 Tl
0.000 0.000 0.500 Te
0.000 0.500 0.750 Te
0.500 0.000 0.250 Te
0.500 0.500 0.000 Te
0.219 0.750 0.625 F
0.250 0.219 0.375 F
0.250 0.281 0.875 F
0.281 0.750 0.125 F
0.719 0.250 0.125 F
0.750 0.719 0.875 F
0.750 0.781 0.375 F
0.781 0.250 0.625 F
```

Properties
SG = I-42d (122)

(8)
TlTe2F | meta-GGA SCAN | PBEsol geometry

POSCAR file:
```
TlTe2F
1.0
4.378 0.000 0.000
-2.189 3.791 0.000
0.000 0.000 23.403
Tl Te F
3 6 3
direct
0.000 0.000 0.000 Tl
0.333 0.667 0.667 Tl
0.667 0.333 0.333 Tl
0.000 0.000 0.404 Te
0.000 0.000 0.596 Te
0.333 0.667 0.071 Te
0.333 0.667 0.262 Te
0.667 0.333 0.738 Te
0.667 0.333 0.929 Te
0.000 0.000 0.500 F
0.333 0.667 0.167 F
0.667 0.333 0.833 F
```

Properties
SG = R-3m (166)

| no. | DFT total energy (eV per atom) |
| --- | --- |
| 1 | -51.08 |
| 2 | -25.12 |
| 3 | -24.57 |
| 4 | -21.31 |
| 5 | -16.80 |
| 6 | -12.45 |
| 7 | -30.14 |
| 8 | -37.85 |